NpAlRh6: relaxed, GGA-PBE. Values from VASP.

Computed properties:
D(E_F) = 10.5 states/eV/f.u.
crystal system = tetragonal
calculated formation energy = -444 meV/atom
M_tot = 1.033 μB per cell

Geometry as Quantum ESPRESSO input:
```
&SYSTEM
  ibrav = 0, nat = 8, ntyp = 3
/
ATOMIC_SPECIES
Np 237.00 Np.upf
Al 26.98 Al.upf
Rh 102.91 Rh.upf
CELL_PARAMETERS angstrom
5.5359 0.0000 0.0000
0.0000 5.5359 0.0000
0.0000 0.0000 3.9554
ATOMIC_POSITIONS angstrom
Np 0.0000 0.0000 0.0000
Al 2.7680 2.7680 0.0000
Rh 0.0000 2.7680 0.0000
Rh 1.4017 1.4017 1.9777
Rh 1.4017 4.1342 1.9777
Rh 2.7680 0.0000 0.0000
Rh 4.1342 1.4017 1.9777
Rh 4.1342 4.1342 1.9777
```